Entry 1:
The following is a DFT calculation (PBEsol) of a relaxed Zn2SbAu crystal.

Computed properties:
electronic total energy	-2.826	eV/atom
DOS(E_F)	1.616	states/eV per cell

```
Zn2SbAu
1.0
3.0347 0.0000 0.0000
0.0000 3.0347 0.0000
0.0000 0.0000 7.8719
Zn Sb Au
2 1 1
direct
0.5000 0.5000 0.2474
0.0000 0.0000 0.0488
0.5000 0.5000 0.7464
0.0000 0.0000 0.4575
```

Entry 2:
The following is a DFT calculation (PBEsol) of a relaxed ZnSb2Au crystal.

Computed properties:
electronic total energy	-3.585	eV/atom
DOS(E_F)	1.646	states/eV per cell

```
ZnSb2Au
1.0
-2.2070 -2.2195 1.4684
2.9830 -1.5324 0.8404
0.2422 3.9236 6.2947
Au Sb Zn
1 2 1
direct
0.5000 0.5000 0.2881
0.0000 0.0000 0.0594
0.5000 0.5000 0.6875
0.0000 0.0000 0.4651
```

Entry 3:
The following is a DFT calculation (PBEsol) of a relaxed Zr2SbAu crystal.

Computed properties:
electronic total energy	-7.224	eV/atom
DOS(E_F)	2.941	states/eV per cell

```
Zr2SbAu
1.0
3.6573 0.0000 0.0000
0.0000 3.6573 0.0000
0.0000 0.0000 6.1200
Au Zr Sb
1 2 1
direct
0.5000 0.5000 0.0000
0.0000 0.0000 0.2475
0.0000 0.0000 0.7525
0.5000 0.5000 0.5000
```

Entry 4:
The following is a DFT calculation (PBEsol) of a relaxed ZrSb3Au crystal.

Computed properties:
polymorph energy (0 for the lowest one)	0.1206	eV per atom
electronic total energy	-4.672	eV/atom
DOS(E_F)	4.701	states/eV per cell

```
ZrSb3Au
1.0
-2.8256 -4.3729 -0.3878
2.2304 -1.8271 4.3524
-3.7813 2.1899 2.8570
Zr Sb Au
1 3 1
direct
0.5000 0.5000 0.5000
0.5000 0.0000 0.0000
0.0000 0.0000 0.5000
0.0000 0.5000 0.0000
0.0000 0.0000 0.0000
```

Entry 5:
The following is a DFT calculation (PBEsol) of a relaxed ZrSbAu2 crystal.

Computed properties:
electronic total energy	-5.769	eV/atom
DOS(E_F)	1.818	states/eV per cell

```
ZrSbAu2
1.0
4.1556 0.0000 0.0000
0.0000 4.1556 0.0000
-2.0778 -2.0778 4.4942
Au Sb Zr
2 1 1
direct
0.7500 0.2500 0.5000
0.2500 0.7500 0.5000
0.0000 0.0000 0.0000
0.5000 0.5000 0.0000
```

Entry 6:
The following is a DFT calculation (PBEsol) of a relaxed ZrSbAu2 crystal.

Computed properties:
electronic total energy	-5.627	eV/atom
DOS(E_F)	4.140	states/eV per cell

```
ZrSbAu2
1.0
-1.9823 3.3134 -2.8560
-2.9211 -1.3424 -3.5678
-4.7078 0.9063 0.2812
Sb Zr Au
1 1 2
direct
0.5000 0.5000 0.5000
0.2500 0.2500 0.2500
0.0000 0.0000 0.0000
0.7500 0.7500 0.7500
```

Entry 7:
The following is a DFT calculation (PBEsol) of a relaxed ZrSbAu2 crystal.

Computed properties:
electronic total energy	-5.801	eV/atom
DOS(E_F)	1.604	states/eV per cell

```
ZrSbAu2
1.0
4.1451 0.0000 0.0000
0.0000 4.1451 0.0000
0.0000 0.0000 4.4924
Au Sb Zr
2 1 1
direct
0.5000 0.0000 0.0000
0.0000 0.5000 0.0000
0.5000 0.5000 0.5000
0.0000 0.0000 0.5000
```

Entry 8:
The following is a DFT calculation (PBEsol) of a relaxed ZrSb4Au crystal.

Computed properties:
electronic total energy	-4.809	eV/atom
DOS(E_F)	4.431	states/eV per cell

```
ZrSb4Au
1.0
-2.8524 -5.1577 0.9773
3.1185 -4.9802 1.0797
-0.0220 -2.4124 5.4657
Sb Zr Au
4 1 1
direct
0.3747 0.3747 0.3747
0.3747 0.3747 0.8759
0.8759 0.3747 0.3747
0.3747 0.8759 0.3747
0.7500 0.7500 0.7500
0.0000 0.0000 0.0000
```

Entry 9:
The following is a DFT calculation (PBEsol) of a relaxed ZrSb3Au crystal.

Computed properties:
polymorph energy (0 for the lowest one)	0.0000	eV per atom
electronic total energy	-4.793	eV/atom
DOS(E_F)	2.496	states/eV per cell

```
ZrSb3Au
1.0
5.3978 0.0000 0.0000
0.0000 5.3978 0.0000
0.0000 0.0000 5.3978
Au Sb Zr
1 3 1
direct
0.5000 0.5000 0.5000
0.0000 0.0000 0.5000
0.0000 0.5000 0.0000
0.5000 0.0000 0.0000
0.0000 0.0000 0.0000
```

Entry 10:
The following is a DFT calculation (PBEsol) of a relaxed Sc5Au3 crystal.

Computed properties:
polymorph energy (0 for the lowest one)	0.0000	eV per atom
electronic total energy	-6.260	eV/atom
DOS(E_F)	21.049	states/eV per cell
energy of formation from the pure elements	-0.6600	eV/atom

```
Sc5Au3
1.0
5.4887 0.0000 0.0000
0.0000 8.2033 0.0000
0.0000 -4.1017 7.1043
Au Sc
6 10
direct
0.2500 0.0000 0.3989
0.2500 0.3989 0.0000
0.7500 0.0000 0.6011
0.7500 0.3989 0.3989
0.2500 0.6011 0.6011
0.7500 0.6011 0.0000
0.0000 0.6667 0.3333
0.2500 0.0000 0.7593
0.0000 0.3333 0.6667
0.7500 0.2407 0.0000
0.2500 0.2407 0.2407
0.5000 0.6667 0.3333
0.5000 0.3333 0.6667
0.7500 0.7593 0.7593
0.7500 0.0000 0.2407
0.2500 0.7593 0.0000
```

Entry 11:
The following is a DFT calculation (PBEsol) of a relaxed Sc2Au crystal.

Computed properties:
electronic total energy	-6.319	eV/atom
DOS(E_F)	4.952	states/eV per cell
energy of formation from the pure elements	-0.6079	eV/atom

```
Sc2Au
1.0
-3.2060 -3.1836 -0.1168
4.8420 -4.9045 0.7735
-3.0026 2.8191 5.5798
Sc Au
6 3
direct
0.5000 0.4128 0.4128
0.5000 0.0000 0.5872
0.0000 0.0000 0.2555
0.5000 0.5872 0.0000
0.0000 0.7445 0.7445
0.0000 0.2555 0.0000
0.0000 0.3333 0.6667
0.5000 0.0000 0.0000
0.0000 0.6667 0.3333
```

Entry 12:
The following is a DFT calculation (PBEsol) of a relaxed Sc2Au crystal.

Computed properties:
electronic total energy	-6.355	eV/atom
DOS(E_F)	27.393	states/eV per cell
energy of formation from the pure elements	-0.6433	eV/atom

```
Sc2Au
1.0
8.8470 0.0000 0.0000
4.4235 7.6618 0.0000
4.4235 2.5539 7.2236
Au Sc
8 16
direct
0.9076 0.9076 0.2773
0.9076 0.9076 0.9076
0.9727 0.3424 0.3424
0.3424 0.9727 0.3424
0.3424 0.3424 0.3424
0.9076 0.2773 0.9076
0.2773 0.9076 0.9076
0.3424 0.3424 0.9727
0.6848 0.3152 0.3152
0.5652 0.5652 0.9348
0.6848 0.3152 0.6848
0.1250 0.1250 0.1250
0.1250 0.1250 0.6250
0.6848 0.6848 0.3152
0.9348 0.5652 0.9348
0.3152 0.6848 0.6848
0.6250 0.1250 0.1250
0.1250 0.6250 0.1250
0.9348 0.9348 0.5652
0.5652 0.9348 0.5652
0.3152 0.6848 0.3152
0.9348 0.5652 0.5652
0.5652 0.9348 0.9348
0.3152 0.3152 0.6848
```

Respective M_tot values: 0.0; 0.0; 0.0; 0.0; 0.0; 0.0; 0.0; 0.0; 0.0; 0.0; 0.0; 0.0 μB/f.u..